# Tb2MgPb

An optimized crystal structure of Tb2MgPb (GGA-PBE, Alexandria via LeMat-Bulk).

Cell lengths 4.9304, 4.9304, 4.4935 Å; angles 90.00, 90.00, 90.00 degrees
Space group P4/mmm (No. 123)
Symmetry-distinct sites (fractional):
Tb1 0.0000 0.5000 0.0000 (multiplicity 2)
Mg1 0.0000 0.0000 0.5000 (multiplicity 1)
Pb1 0.5000 0.5000 0.5000 (multiplicity 1)

Computed properties:
- Total moment: 0.0 μB/f.u.
- Formation enthalpy at 0 K: -0.3237 eV/atom
- Density of states at the Fermi level: 2.63 states/eV/f.u.